Yb2WO6 after structural relaxation, computed with PBE with a Hubbard U.

Lattice parameters (Å, degrees): 7.7000 5.4235 11.4960 90.00 104.56 90.00
Closest atoms and distances in Å follow each position.
Element x y z (fractional)
Yb 0.0000 0.1840 0.2500  8 O 2.37-2.48
Yb 0.0000 0.8160 0.7500  8 O 2.37-2.48
Yb 0.2968 0.3099 0.9210  7 O 2.26-2.44
Yb 0.2968 0.6901 0.4210  7 O 2.26-2.44
Yb 0.5000 0.2407 0.2500  8 O 2.29-2.53
Yb 0.5000 0.7593 0.7500  8 O 2.29-2.53
Yb 0.7032 0.3099 0.5790  7 O 2.26-2.44
Yb 0.7032 0.6901 0.0790  7 O 2.26-2.44
W 0.2223 0.2470 0.6122  6 O 1.89-2.07
W 0.2223 0.7530 0.1122  6 O 1.89-2.07
W 0.7777 0.2470 0.8878  6 O 1.89-2.07
W 0.7777 0.7530 0.3878  6 O 1.89-2.07
O 0.0119 0.1430 0.8880  1 W 1.89
O 0.0119 0.8570 0.3880  1 W 1.89
O 0.1340 0.3484 0.4507  1 W 1.89
O 0.1340 0.6516 0.9507  1 W 1.89
O 0.2134 0.4837 0.2270  1 W 1.98
O 0.2134 0.5163 0.7270  1 W 1.98
O 0.2860 0.0408 0.7685  1 W 2.07, 2 Yb 2.27-2.29
O 0.2860 0.9592 0.2685  1 W 2.07, 2 Yb 2.27-2.29
O 0.3525 0.0253 0.0696  1 W 1.92
O 0.3525 0.9747 0.5696  1 W 1.92
O 0.4373 0.4603 0.6031  1 W 2.04, 1 Yb 2.28
O 0.4373 0.5397 0.1031  1 W 2.04, 1 Yb 2.28
O 0.5627 0.4603 0.8969  1 W 2.04, 1 Yb 2.28
O 0.5627 0.5397 0.3969  1 W 2.04, 1 Yb 2.28
O 0.6475 0.0253 0.4304  1 W 1.92
O 0.6475 0.9747 0.9304  1 W 1.92
O 0.7140 0.0408 0.7315  1 W 2.07, 2 Yb 2.27-2.29
O 0.7140 0.9592 0.2315  1 W 2.07, 2 Yb 2.27-2.29
O 0.7866 0.4837 0.2730  1 W 1.98
O 0.7866 0.5163 0.7730  1 W 1.98
O 0.8660 0.3484 0.0493  1 W 1.89
O 0.8660 0.6516 0.5493  1 W 1.89
O 0.9881 0.1430 0.6120  1 W 1.89
O 0.9881 0.8570 0.1120  1 W 1.89

Properties
- Space group: P2/c, No. 13
- E: -0.511 Ry/atom